(1)
Material: RbIn3Hg
Method: DFT, GGA-PBE
State: relaxed

Output
E_form in kJ/mol of formula units: -61.8
Crystal system: orthorhombic
Space-group type: No. 42
E above lowest polymorph in meV/atom: 0.0
VASP energy in eV per atom: -2.025

Unit cell a=7.292 b=7.287 c=5.021 alpha=69.91 beta=69.81 gamma=40.29
Atoms (fractional coordinates):
Rb 0.000 0.000 0.000
In 0.254 0.254 0.246
In 0.620 0.620 0.380
In 0.754 0.754 0.746
Hg 0.390 0.390 0.610

=====

(2)
Material: RbIn5Hg7
Method: DFT, GGA-PBE
State: relaxed

Output
E_form in kJ/mol of formula units: -53.3
Crystal system: monoclinic
Space-group type: No. 8
VASP energy in eV per atom: -1.333

Unit cell a=8.241 b=8.241 c=6.387 alpha=111.76 beta=111.76 gamma=83.62
Atoms (fractional coordinates):
Rb 0.000 0.000 0.000
In 0.034 0.491 0.007
In 0.483 0.959 0.473
In 0.491 0.034 0.007
In 0.755 0.755 0.222
In 0.959 0.483 0.473
Hg 0.181 0.792 0.514
Hg 0.219 0.219 0.666
Hg 0.344 0.645 0.954
Hg 0.366 0.366 0.348
Hg 0.645 0.344 0.954
Hg 0.652 0.652 0.659
Hg 0.792 0.181 0.514